(1)
IrPd2RuC | Alexandria via LeMat-Bulk | PBE | optimized geometry; formation energy from the elements = 1692 meV per atom; N(E_F) = 1.66 states/eV per atom
1.0
4.8677 0.0000 0.0000
0.0000 3.6492 0.0000
0.0000 0.0000 4.8677
Pd C Ir Ru
2 1 1 1
direct
0.0000 0.0000 0.5000
0.5000 0.0000 0.0000
0.0000 0.5000 0.0000
0.5000 0.5000 0.5000
0.0000 0.0000 0.0000

(2)
BaLa2BiRh | Alexandria via LeMat-Bulk | PBE | optimized geometry; formation energy from the elements = -551 meV per atom; N(E_F) = 0.91 states/eV per atom
1.0
-3.0523 -0.5331 -4.5107
-3.1931 -3.6131 2.5878
-3.6024 4.5448 1.9005
Ba La Rh Bi
1 2 1 1
direct
0.0000 0.0000 0.5000
0.5000 0.0000 0.0000
0.0000 0.5000 0.0000
0.0000 0.0000 0.0000
0.5000 0.5000 0.5000

(3)
KRb2PbCl5 | Alexandria via LeMat-Bulk | PBE | optimized geometry; N(E_F) = 0.00 states/eV per atom; ΔE_f (raw) = -14.66 eV per formula unit
1.0
5.5424 0.0000 0.0000
0.0000 7.7983 0.0000
-2.7712 -3.8992 8.0429
Pb K Rb Cl
1 1 2 5
direct
0.5000 0.0000 0.0000
0.0000 0.5000 0.0000
0.7941 0.7941 0.5881
0.2059 0.2059 0.4119
0.3690 0.1232 0.7380
0.6310 0.3852 0.2620
0.6310 0.8768 0.2620
0.3690 0.6148 0.7380
0.0000 0.0000 0.0000

(4)
Sb2AuSe | Alexandria via LeMat-Bulk | PBE | optimized geometry; N(E_F) = 0.71 states/eV per atom; ΔE_f (raw) = 0.77 eV per formula unit
1.0
-3.0876 -1.0941 1.8262
1.9379 -5.8198 -0.2102
2.0583 0.5478 3.8083
Sb Se Au
2 1 1
direct
0.5000 0.5000 0.0000
0.0000 0.0000 0.0000
0.5000 0.0000 0.5000
0.0000 0.5000 0.5000

(5)
Tc2MoIr | Alexandria via LeMat-Bulk | PBE | optimized geometry; excess energy over the best structure of this formula in the dataset = 96 meV/atom; formation energy from the elements = -46 meV per atom; N(E_F) = 0.75 states/eV per atom
1.0
-0.3142 -3.4115 3.3517
2.1551 -1.7821 -3.8924
2.4352 0.7590 1.0008
Tc Mo Ir
2 1 1
direct
0.5000 0.5000 0.0000
0.0000 0.0000 0.0000
0.0000 0.5000 0.5000
0.5000 0.0000 0.5000

(6)
La12Tb6Sm | Alexandria via LeMat-Bulk | PBE | optimized geometry; formation energy from the elements = 217 meV per atom; N(E_F) = 1.76 states/eV per atom
1.0
-2.3443 -5.0313 -7.5279
7.7931 -3.8197 3.4867
-6.7386 -1.3303 6.3482
La Tb Sm
12 6 1
direct
0.1222 0.8188 0.2845
0.1949 0.5817 0.4855
0.4855 0.1949 0.5817
0.7155 0.8778 0.1812
0.8051 0.4183 0.5145
0.5817 0.4855 0.1949
0.4183 0.5145 0.8051
0.5145 0.8051 0.4183
0.8778 0.1812 0.7155
0.1812 0.7155 0.8778
0.8188 0.2845 0.1222
0.2845 0.1222 0.8188
0.9152 0.8071 0.5533
0.4467 0.0848 0.1929
0.1929 0.4467 0.0848
0.5533 0.9152 0.8071
0.0848 0.1929 0.4467
0.8071 0.5533 0.9152
0.0000 0.0000 0.0000

(7)
TlHgRh2 | Alexandria via LeMat-Bulk | PBE | optimized geometry; formation energy from the elements = 518 meV per atom; N(E_F) = 1.56 states/eV per atom
1.0
4.1606 0.0000 0.0000
0.0000 4.1606 0.0000
2.0803 2.0803 9.5094
Rh Hg Tl
4 2 2
direct
0.1778 0.6250 0.2500
0.3750 0.4278 0.7500
0.8750 0.8222 0.7500
0.5722 0.1250 0.2500
0.2500 0.7500 0.5000
0.5000 0.5000 0.0000
0.0000 0.0000 0.0000
0.7500 0.2500 0.5000

(8)
AsOsRh | Alexandria via LeMat-Bulk | PBE | optimized geometry; excess energy over the best structure of this formula in the dataset = 110 meV/atom; formation energy from the elements = 246 meV per atom; N(E_F) = 1.25 states/eV per atom
1.0
5.3849 -0.0053 0.0000
3.7410 3.8733 0.0000
-4.5629 -1.9340 2.1063
Os Rh As
1 1 1
direct
0.3505 0.3505 0.0000
0.6553 0.6553 0.0000
0.9942 0.9942 0.0000

(9)
CsVSe2 | Alexandria via LeMat-Bulk | PBE | optimized geometry; N(E_F) = 0.46 states/eV per atom; ΔE_f (raw) = -3.27 eV per formula unit
1.0
-2.8252 2.5179 -1.6640
-1.9404 0.2316 3.6448
6.4688 4.4046 0.8171
Se Cs V
2 1 1
direct
0.8829 0.5428 0.5513
0.5597 0.2195 0.9050
0.2214 0.8813 0.2281
0.4713 0.6311 0.7283

(10)
SClO | Alexandria via LeMat-Bulk | PBE | optimized geometry; N(E_F) = 0.24 states/eV per atom; ΔE_f (raw) = -1.49 eV per formula unit
1.0
3.1307 -0.0005 0.0000
-1.5163 4.4857 -0.0346
-1.5156 -1.3184 5.3865
Cl S O
1 1 1
direct
0.9785 0.9292 0.1302
0.2560 0.1254 0.5064
0.4436 0.4639 0.5555

(11)
TcHOsAuN | Alexandria via LeMat-Bulk | PBE | optimized geometry; excess energy over the best structure of this formula in the dataset = 187 meV/atom; N(E_F) = 0.63 states/eV per atom
1.0
3.6708 -0.0001 -0.0001
-0.0001 4.0564 -0.0079
-1.8254 -2.0118 4.3075
Au Tc H N Os
1 1 1 1 1
direct
0.6353 0.3144 0.4624
0.8430 0.0520 0.9397
0.2671 0.6072 0.0493
0.0102 0.6276 0.0903
0.1855 0.8649 0.5631

(12)
Pm2Cl3F2 | Alexandria via LeMat-Bulk | PBE | optimized geometry; N(E_F) = 0.14 states/eV per atom; ΔE_f (raw) = -19.34 eV per formula unit
1.0
3.5752 0.0000 0.0000
-1.7876 6.2854 0.4356
0.0000 -2.3848 6.7052
Cl F Pm
3 2 2
direct
0.6304 0.2608 0.4718
0.5000 0.0000 0.0000
0.3696 0.7392 0.5282
0.8027 0.6054 0.1295
0.1973 0.3946 0.8705
0.8165 0.6331 0.8036
0.1835 0.3669 0.1964

(13)
ErTm2Th3 | Alexandria via LeMat-Bulk | PBE | optimized geometry; formation energy from the elements = 184 meV per atom; N(E_F) = 1.23 states/eV per atom
1.0
6.6743 -0.1165 -0.2034
0.0000 9.7418 -5.5800
0.1785 -2.3480 7.1945
Tm Th Er
4 6 2
direct
0.2501 0.5631 0.6669
0.7501 0.1038 0.6669
0.7499 0.4369 0.3331
0.2499 0.8962 0.3331
0.5000 0.5000 0.0000
0.5003 0.1668 0.3338
0.4997 0.8332 0.6662
0.0003 0.1670 0.3338
0.0000 0.5000 0.0000
0.9997 0.8330 0.6662
0.7500 0.7701 0.0000
0.2500 0.2299 0.0000

(14)
Ta3Os5 | Alexandria via LeMat-Bulk | PBE | optimized geometry; excess energy over the best structure of this formula in the dataset = 284 meV/atom; formation energy from the elements = 65 meV per atom; N(E_F) = 0.82 states/eV per atom
1.0
-9.8575 2.7839 0.4539
-7.6980 -2.7949 -2.5453
-3.2320 1.3425 5.7047
Os Ta
10 6
direct
0.5395 0.2515 0.7489
0.7511 0.0399 0.9604
0.4484 0.7444 0.2560
0.7680 0.5483 0.4522
0.9322 0.7711 0.2297
0.7702 0.7515 0.7298
0.2706 0.4327 0.5675
0.0479 0.2685 0.7318
0.2511 0.2708 0.2488
0.2440 0.9488 0.0516
0.7877 0.2881 0.7123
0.6759 0.8071 0.1934
0.3066 0.1764 0.8241
0.7526 0.2530 0.2474
0.2526 0.7529 0.7474
0.1949 0.6952 0.3051

(15)
GaReC2 | Alexandria via LeMat-Bulk | PBE | optimized geometry; formation energy from the elements = 707 meV per atom; N(E_F) = 0.52 states/eV per atom
1.0
-1.0166 -1.0343 4.5352
-3.2627 -3.1502 -1.4498
1.0484 -5.3781 1.5079
C Re Ga
4 2 2
direct
0.8750 0.8954 0.7500
0.6454 0.1250 0.2500
0.1046 0.6250 0.2500
0.3750 0.3546 0.7500
0.7500 0.2500 0.5000
0.0000 0.0000 0.0000
0.2500 0.7500 0.5000
0.5000 0.5000 0.0000

(16)
Mn3VSi | Alexandria via LeMat-Bulk | PBE | optimized geometry; excess energy over the best structure of this formula in the dataset = 0 meV/atom; N(E_F) = 1.21 states/eV per atom; ΔE_f (raw) = 3.30 eV per formula unit
1.0
4.2920 0.0000 0.0000
0.0000 4.2920 0.0000
0.0000 0.0000 4.2920
Mn V Si
3 1 1
direct
0.5000 0.0000 0.0000
0.0000 0.0000 0.5000
0.0000 0.5000 0.0000
0.5000 0.5000 0.5000
0.0000 0.0000 0.0000

(17)
TcTeOs2 | Alexandria via LeMat-Bulk | PBE | optimized geometry; excess energy over the best structure of this formula in the dataset = 111 meV/atom; N(E_F) = 0.98 states/eV per atom; ΔE_f (raw) = 2.73 eV per formula unit
1.0
9.0177 0.0012 0.0007
8.5432 2.8867 0.0007
8.5432 1.4049 2.5217
Tc Os Te
1 2 1
direct
0.2500 0.2500 0.2500
0.5048 0.5048 0.5048
0.9952 0.9952 0.9952
0.7500 0.7500 0.7500

(18)
Y3SnOs | Alexandria via LeMat-Bulk | PBE | optimized geometry; excess energy over the best structure of this formula in the dataset = 0 meV/atom; formation energy from the elements = -166 meV per atom; N(E_F) = 0.66 states/eV per atom
1.0
-2.3887 -1.1882 4.6165
3.9469 -3.3886 1.1700
2.6732 3.9414 2.3977
Sn Y Os
1 3 1
direct
0.5000 0.5000 0.5000
0.0000 0.5000 0.0000
0.5000 0.0000 0.0000
0.0000 0.0000 0.5000
0.0000 0.0000 0.0000

(19)
Tb9Al5Se21 | Alexandria via LeMat-Bulk | PBE | optimized geometry; N(E_F) = 0.00 states/eV per atom; ΔE_f (raw) = -52.72 eV per formula unit
1.0
12.0085 0.0662 0.0721
-0.8779 11.9766 0.0721
-0.8779 -0.9499 11.9391
Se Al Tb
42 10 18
direct
0.3116 0.8922 0.7994
0.2685 0.3799 0.5122
0.9958 0.5508 0.4633
0.5846 0.4417 0.6914
0.7163 0.8477 0.6159
0.9920 0.3272 0.6605
0.2353 0.1045 0.3365
0.6159 0.7163 0.8477
0.5122 0.2685 0.3799
0.3799 0.5122 0.2685
0.5508 0.4633 0.9958
0.1873 0.6205 0.7022
0.3365 0.2353 0.1045
0.0042 0.8968 0.7604
0.3272 0.6605 0.9920
0.4633 0.9958 0.5508
0.5236 0.9423 0.0366
0.4417 0.6914 0.5846
0.9423 0.0366 0.5236
0.7604 0.0042 0.8968
0.8282 0.4913 0.1600
0.6914 0.5846 0.4417
0.2150 0.1347 0.6494
0.6605 0.9920 0.3272
0.8414 0.2870 0.3710
0.0570 0.2036 0.9537
0.1600 0.8282 0.4913
0.1347 0.6494 0.2150
0.3710 0.8414 0.2870
0.0366 0.5236 0.9423
0.2036 0.9537 0.0570
0.8968 0.7604 0.0042
0.9537 0.0570 0.2036
0.8922 0.7994 0.3116
0.8477 0.6159 0.7163
0.7994 0.3116 0.8922
0.6205 0.7022 0.1873
0.1045 0.3365 0.2353
0.7022 0.1873 0.6205
0.2870 0.3710 0.8414
0.4913 0.1600 0.8282
0.6494 0.2150 0.1347
0.6409 0.6409 0.6409
0.9538 0.6142 0.2817
0.1396 0.1396 0.1396
0.2817 0.9538 0.6142
0.8247 0.8247 0.8247
0.4529 0.7784 0.1187
0.1187 0.4529 0.7784
0.3239 0.3239 0.3239
0.6142 0.2817 0.9538
0.7784 0.1187 0.4529
0.7890 0.4138 0.5702
0.1159 0.8880 0.2633
0.7529 0.9043 0.1242
0.8880 0.2633 0.1159
0.7719 0.5475 0.9315
0.4522 0.0683 0.2292
0.2292 0.4522 0.0683
0.2351 0.6059 0.4445
0.9043 0.1242 0.7529
0.5702 0.7890 0.4138
0.2633 0.1159 0.8880
0.4138 0.5702 0.7890
0.4445 0.2351 0.6059
0.9315 0.7719 0.5475
0.0683 0.2292 0.4522
0.1242 0.7529 0.9043
0.6059 0.4445 0.2351
0.5475 0.9315 0.7719

(20)
Ca3Si2Ag2Au4 | Alexandria via LeMat-Bulk | PBE | optimized geometry; N(E_F) = 0.39 states/eV per atom; ΔE_f (raw) = -3.78 eV per formula unit
1.0
-1.7782 -2.9459 -2.6191
3.4409 0.2417 -2.6081
5.2307 -8.5977 9.6892
Si Ag Au Ca
2 2 4 3
direct
0.6270 0.6270 0.2539
0.3730 0.3730 0.7461
0.2781 0.2781 0.5563
0.7219 0.7219 0.4437
0.4176 0.9176 0.8352
0.9176 0.4176 0.8352
0.5824 0.0824 0.1648
0.0824 0.5824 0.1648
0.8323 0.8323 0.6646
0.0000 0.0000 0.0000
0.1677 0.1677 0.3354

(21)
SrTlOF2 | Alexandria via LeMat-Bulk | PBE | optimized geometry; excess energy over the best structure of this formula in the dataset = 173 meV/atom; N(E_F) = 0.11 states/eV per atom; ΔE_f (raw) = -9.83 eV per formula unit
1.0
-0.3487 -4.3472 1.7817
2.1109 -1.7411 -3.8350
3.9609 0.4855 1.9598
O Sr F Tl
1 1 2 1
direct
0.0000 0.0000 0.5000
0.5000 0.5000 0.5000
0.0000 0.5000 0.0000
0.5000 0.0000 0.0000
0.0000 0.0000 0.0000

(22)
NiH2Pt | Alexandria via LeMat-Bulk | PBE | optimized geometry; excess energy over the best structure of this formula in the dataset = 40 meV/atom; N(E_F) = 0.34 states/eV per atom
1.0
4.0133 0.0000 0.0000
0.0000 4.0133 0.0000
2.0066 2.0066 4.2112
Pt Ni H
2 2 4
direct
0.7500 0.2500 0.5000
0.0000 0.0000 0.0000
0.2500 0.7500 0.5000
0.5000 0.5000 0.0000
0.1554 0.6250 0.2500
0.8750 0.8446 0.7500
0.5946 0.1250 0.2500
0.3750 0.4054 0.7500

Per-record DFT total energy, eV/f.u.: -29.29; -25.76; -30.64; -14.24; -40.61; -87.51; -15.30; -22.49; -20.21; -12.43; -33.97; -38.13; -34.66; -91.19; -31.09; -38.75; -33.24; -35.45; -186.28; -39.44; -22.58; -18.41